1 | VASP calculation (PBE) on an optimized crystal structure of LaV2Ge2.

Values from the calculation:
**Crystal system**: tetragonal
**DOS at the Fermi energy**: 0.630 states/eV/atom

abc: 4.001 4.001 11.861
angles: 90.00 90.00 90.00
Space group I4/mmm (No. 139)
One atom of each set of equivalent atoms:
La: 0.000 0.000 0.000 [2 per cell]
V: 0.000 0.500 0.250 [4 per cell]
Ge: 0.000 0.000 0.384 [4 per cell]

---

2 | VASP calculation (PBE) on an optimized crystal structure of LaV2Ge2.

Values from the calculation:
**Crystal system**: tetragonal
**DOS at the Fermi energy**: 1.027 states/eV/atom

abc: 7.803 7.803 2.920
angles: 90.00 90.00 90.00
Space group P4/mbm (No. 127)
One atom of each set of equivalent atoms:
La: 0.000 0.000 0.000 [2 per cell]
V: 0.110 0.390 0.000 [4 per cell]
Ge: 0.175 0.675 0.500 [4 per cell]

---

The data favor 1; the next most stable structure lies 35.2 kJ/mol of atoms above it.